Entry 1:
Below is an optimized crystal structure of Mg2Zn13, with properties calculated at the PBE level.

Unit cell a=7.0189 b=7.0189 c=18.1269 alpha=90.00 beta=90.00 gamma=120.00
With the nearest neighbours (Å) after each atom.
Space group R-3m (No. 166, hexagonal axes)
Inequivalent atoms, fractional coordinates:
1 Mg 0.0000 0.0000 0.1606 (multiplicity 6)  7 Zn 2.75-2.91
2 Zn 0.0000 0.0000 0.0000 (multiplicity 3)  6 Zn 2.62, 2 Mg 2.91
3 Zn 0.0778 0.5389 0.3772 (multiplicity 18)  6 Zn 2.62-2.74, 1 Mg 2.80
4 Zn 0.0842 0.5421 0.2306 (multiplicity 18)  7 Zn 2.62-2.77, 1 Mg 2.75

## Properties
D(E_F)   9.68 states/eV per cell
ΔH_f (0 K)   9.5 kJ per mole of atoms



Entry 2:
Below is an optimized crystal structure of MgZn, with properties calculated at the PBE level.

Unit cell a=4.8080 b=4.8080 c=7.8502 alpha=90.00 beta=90.00 gamma=120.00
With the nearest neighbours (Å) after each atom.
Space group P6_3/mmc (No. 194)
Inequivalent atoms, fractional coordinates:
1 Mg 0.0000 0.0000 0.2500 (multiplicity 2)  3 Mg 2.78, 6 Zn 3.05
2 Mg 0.3333 0.6667 0.2500 (multiplicity 2)  2 Zn 2.66, 3 Mg 2.78
3 Zn 0.3333 0.6667 0.5889 (multiplicity 4)  1 Zn 2.53, 1 Mg 2.66

## Properties
D(E_F)   1.76 states/eV per cell
ΔH_f (0 K)   11.6 kJ per mole of atoms



Entry 3:
Below is an optimized crystal structure of MgZn2, with properties calculated at the PBE level.

Unit cell a=5.0889 b=5.0889 c=4.5416 alpha=90.00 beta=90.00 gamma=120.00
With the nearest neighbours (Å) after each atom.
Space group P-62m (No. 189)
Inequivalent atoms, fractional coordinates:
1 Mg 0.3333 0.6667 0.0000 (multiplicity 2)  9 Zn 2.87-2.94, 3 Mg 2.94
2 Zn 0.0000 0.0000 0.0000 (multiplicity 1)  6 Zn 2.78, 6 Mg 2.94
3 Zn 0.0000 0.6864 0.5000 (multiplicity 3)  8 Zn 2.76-3.03, 4 Mg 2.87

## Properties
D(E_F)   1.42 states/eV per cell
ΔH_f (0 K)   -1.7 kJ per mole of atoms



Entry 4:
Below is an optimized crystal structure of MgZn, with properties calculated at the PBE level.

Unit cell a=3.1360 b=3.1360 c=27.1240 alpha=90.00 beta=90.00 gamma=120.00
With the nearest neighbours (Å) after each atom.
Space group R-3m (No. 166, hexagonal axes)
Inequivalent atoms, fractional coordinates:
1 Mg 0.0000 0.0000 0.1173 (multiplicity 6)  3 Zn 2.87, 6 Mg 3.14
2 Zn 0.0000 0.0000 0.3685 (multiplicity 6)  3 Zn 2.63, 3 Mg 2.87

## Properties
D(E_F)   3.47 states/eV per cell
ΔH_f (0 K)   2.3 kJ per mole of atoms



Entry 5:
Below is an optimized crystal structure of MgZn2, with properties calculated at the PBE level.

Unit cell a=5.2461 b=5.2461 c=16.8001 alpha=90.00 beta=90.00 gamma=120.00
With the nearest neighbours (Å) after each atom.
Space group P6_3/mmc (No. 194)
Inequivalent atoms, fractional coordinates:
1 Mg 0.0000 0.0000 0.0940 (multiplicity 4)  12 Zn 3.01-3.08, 4 Mg 3.16-3.20
2 Mg 0.3333 0.6667 0.1556 (multiplicity 4)  12 Zn 3.02-3.07, 4 Mg 3.17-3.20
3 Zn 0.0000 0.5000 0.0000 (multiplicity 6)  6 Zn 2.60-2.62
4 Zn 0.1623 0.3246 0.7500 (multiplicity 6)  6 Zn 2.55-2.69
5 Zn 0.3333 0.6667 0.6259 (multiplicity 4)  6 Zn 2.60

## Properties
D(E_F)   7.24 states/eV per cell
ΔH_f (0 K)   -11.6 kJ per mole of atoms



Entry 6:
Below is an optimized crystal structure of Mg2ZrZn, with properties calculated at the PBE level.

Unit cell a=3.3001 b=4.8643 c=10.0876 alpha=90.00 beta=90.13 gamma=90.00
With the nearest neighbours (Å) after each atom.
Space group P2_1/m (No. 11)
Inequivalent atoms, fractional coordinates:
1 Mg 0.0008 0.2500 0.1182 (multiplicity 2)  8 Mg 2.96-3.30, 2 Zr 3.17-3.18
2 Mg 0.4992 0.2500 0.8481 (multiplicity 2)  2 Zn 2.76-2.77, 4 Mg 2.96
3 Zr 0.4962 0.7500 0.6129 (multiplicity 2)  6 Zn 2.93-2.95, 2 Mg 3.17-3.18
4 Zn 0.0013 0.7500 0.3720 (multiplicity 2)  2 Mg 2.76-2.77, 6 Zr 2.93-2.95

## Properties
D(E_F)   5.16 states/eV per cell
ΔH_f (0 K)   -7.2 kJ per mole of atoms